RbPaZn2O6 | PBE-GGA | relaxed

Calculated values
* D(E_F): 0.00 states/eV per cell
* SG: C2/c (15)
* energy relative to the elements, uncorrected: -1.937 eV per atom

a = 7.5481 Å, b = 7.5481 Å, c = 5.8985 Å
α = 95.44°, β = 95.44°, γ = 96.17°
Last column: nearest neighbours and their distance in Å.
Fractional coordinates of all 20 atoms:
Rb (0.0757, 0.9243, 0.7500)  4 O 2.73-2.95
Rb (0.9243, 0.0757, 0.2500)  4 O 2.73-2.95
Pa (0.2933, 0.7067, 0.2500)  4 O 2.08-2.20
Pa (0.7067, 0.2933, 0.7500)  4 O 2.08-2.20
Zn (0.2278, 0.3777, 0.8299)  4 O 1.93-2.04
Zn (0.3777, 0.2278, 0.3299)  4 O 1.93-2.04
Zn (0.6223, 0.7722, 0.6701)  4 O 1.93-2.04
Zn (0.7722, 0.6223, 0.1701)  4 O 1.93-2.04
O (0.0202, 0.7080, 0.2706)  1 Zn 1.93, 1 Pa 2.08
O (0.2687, 0.4138, 0.1792)  2 Zn 1.95-2.04
O (0.2703, 0.6499, 0.8446)  1 O 1.46
O (0.2920, 0.9798, 0.2294)  1 Zn 1.93, 1 Pa 2.08
O (0.3501, 0.7297, 0.6554)  1 O 1.46
O (0.4138, 0.2687, 0.6792)  2 Zn 1.95-2.04
O (0.5862, 0.7313, 0.3208)  2 Zn 1.95-2.04
O (0.6499, 0.2703, 0.3446)  1 O 1.46
O (0.7080, 0.0202, 0.7706)  1 Zn 1.93, 1 Pa 2.08
O (0.7297, 0.3501, 0.1554)  1 O 1.46
O (0.7313, 0.5862, 0.8208)  2 Zn 1.95-2.04
O (0.9798, 0.2920, 0.7294)  1 Zn 1.93, 1 Pa 2.08

***

RbPaZnO4 | PBE-GGA | relaxed

Calculated values
* D(E_F): 0.00 states/eV per cell
* SG: Imma (74)
* energy relative to the elements, uncorrected: -2.396 eV per atom

a = 7.2884 Å, b = 7.2884 Å, c = 7.2884 Å
α = 129.17°, β = 121.64°, γ = 81.02°
Last column: nearest neighbours and their distance in Å.
Fractional coordinates of all 14 atoms:
Rb (0.4266, 0.1766, 0.2500)  4 O 2.60-2.64
Rb (0.5734, 0.8234, 0.7500)  4 O 2.60-2.64
Pa (0.0000, 0.5000, 0.5000)  6 O 2.20-2.22
Pa (0.5000, 0.5000, 0.0000)  6 O 2.20-2.22
Zn (0.0000, 0.0000, 0.5000)  4 O 2.13
Zn (0.0000, 0.5000, 0.0000)  4 O 2.13
O (0.1314, 0.6963, 0.4351)  2 Zn 2.13, 1 Pa 2.22
O (0.2388, 0.3037, 0.9351)  2 Zn 2.13, 1 Pa 2.22
O (0.2611, 0.3055, 0.5444)  2 Pa 2.20
O (0.2611, 0.7167, 0.9556)  2 Pa 2.20
O (0.7389, 0.2833, 0.0444)  2 Pa 2.20
O (0.7389, 0.6945, 0.4556)  2 Pa 2.20
O (0.7612, 0.6963, 0.0649)  2 Zn 2.13, 1 Pa 2.22
O (0.8686, 0.3037, 0.5649)  2 Zn 2.13, 1 Pa 2.22

***

RbPa3Zn4O12 | PBE-GGA | relaxed

Calculated values
* D(E_F): 0.00 states/eV per cell
* SG: R32 (155)
* energy relative to the elements, uncorrected: -2.517 eV per atom

a = 7.3462 Å, b = 7.3462 Å, c = 7.3462 Å
α = 105.85°, β = 105.85°, γ = 105.85°
Last column: nearest neighbours and their distance in Å.
Fractional coordinates of all 20 atoms:
Rb (0.0000, 0.0000, 0.0000)  6 O 2.98
Pa (0.0000, 0.5534, 0.4466)  6 O 2.07-2.27
Pa (0.4466, 0.0000, 0.5534)  6 O 2.07-2.27
Pa (0.5534, 0.4466, 0.0000)  6 O 2.07-2.27
Zn (0.0554, 0.5000, 0.9446)  3 O 1.89-1.92
Zn (0.5000, 0.5000, 0.5000)  3 O 1.91
Zn (0.5000, 0.9446, 0.0554)  3 O 1.89-1.92
Zn (0.9446, 0.0554, 0.5000)  3 O 1.89-1.92
O (0.0281, 0.6228, 0.7486)  1 Zn 1.89, 1 Pa 2.07
O (0.1086, 0.8914, 0.5000)  1 Zn 1.92
O (0.2514, 0.3772, 0.9719)  1 Zn 1.89, 1 Pa 2.07
O (0.3374, 0.6626, 0.5000)  1 Zn 1.91
O (0.3772, 0.9719, 0.2514)  1 Zn 1.89, 1 Pa 2.07
O (0.5000, 0.1086, 0.8914)  1 Zn 1.92
O (0.5000, 0.3374, 0.6626)  1 Zn 1.91
O (0.6228, 0.7486, 0.0281)  1 Zn 1.89, 1 Pa 2.07
O (0.6626, 0.5000, 0.3374)  1 Zn 1.91
O (0.7486, 0.0281, 0.6228)  1 Zn 1.89, 1 Pa 2.07
O (0.8914, 0.5000, 0.1086)  1 Zn 1.92
O (0.9719, 0.2514, 0.3772)  1 Zn 1.89, 1 Pa 2.07

***

Rb2ZrPaO6 | PBE-GGA | relaxed

Calculated values
* D(E_F): 8.01 states/eV per cell
* SG: P4/mmm (123)
* energy relative to the elements, uncorrected: -2.721 eV per atom

a = 4.3475 Å, b = 4.3475 Å, c = 8.6540 Å
α = 90.00°, β = 90.00°, γ = 90.00°
Last column: nearest neighbours and their distance in Å.
Fractional coordinates of all 10 atoms:
Rb (0.0000, 0.0000, 0.2384)  12 O 3.00-3.14
Rb (0.0000, 0.0000, 0.7616)  12 O 3.00-3.14
Zr (0.5000, 0.5000, 0.0000)  6 O 2.14-2.17
Pa (0.5000, 0.5000, 0.5000)  6 O 2.17-2.19
O (0.0000, 0.5000, 0.0000)  2 Zr 2.17
O (0.0000, 0.5000, 0.5000)  2 Pa 2.17
O (0.5000, 0.0000, 0.0000)  2 Zr 2.17
O (0.5000, 0.0000, 0.5000)  2 Pa 2.17
O (0.5000, 0.5000, 0.2472)  1 Zr 2.14, 1 Pa 2.19
O (0.5000, 0.5000, 0.7528)  1 Zr 2.14, 1 Pa 2.19

***

RbZr2PaO8 | PBE-GGA | relaxed

Calculated values
* D(E_F): 0.00 states/eV per cell
* SG: C2/m (12)
* energy relative to the elements, uncorrected: -2.755 eV per atom

a = 5.1194 Å, b = 5.1194 Å, c = 7.5552 Å
α = 93.25°, β = 93.25°, γ = 86.91°
Last column: nearest neighbours and their distance in Å.
Fractional coordinates of all 12 atoms:
Rb (0.0000, 0.0000, 0.0000)  6 O 2.72-2.97
Zr (0.4915, 0.4915, 0.7123)  5 O 2.03-2.21
Zr (0.5085, 0.5085, 0.2877)  5 O 2.03-2.21
Pa (0.0000, 0.0000, 0.5000)  6 O 2.13-2.33
O (0.1778, 0.7554, 0.2975)  1 Zr 2.06, 1 Pa 2.13
O (0.2446, 0.8222, 0.7025)  1 Zr 2.06, 1 Pa 2.13
O (0.3135, 0.3135, 0.4939)  2 Zr 2.03-2.21
O (0.3983, 0.3983, 0.9818)  1 O 1.52
O (0.6017, 0.6017, 0.0182)  1 O 1.52
O (0.6865, 0.6865, 0.5061)  2 Zr 2.03-2.21
O (0.7554, 0.1778, 0.2975)  1 Zr 2.06, 1 Pa 2.13
O (0.8222, 0.2446, 0.7025)  1 Zr 2.06, 1 Pa 2.13

***

Rb2ZrPa3O12 | PBE-GGA | relaxed

Calculated values
* D(E_F): 13.93 states/eV per cell
* SG: R-3m (166)
* energy relative to the elements, uncorrected: -2.807 eV per atom

a = 7.9516 Å, b = 7.9516 Å, c = 7.9516 Å
α = 61.82°, β = 61.82°, γ = 61.82°
Last column: nearest neighbours and their distance in Å.
Fractional coordinates of all 18 atoms:
Rb (0.1573, 0.1573, 0.1573)  6 O 3.27-3.34
Rb (0.8427, 0.8427, 0.8427)  6 O 3.27-3.34
Zr (0.5000, 0.5000, 0.5000)  6 O 2.11
Pa (0.0000, 0.5000, 0.5000)  6 O 2.10-2.17
Pa (0.5000, 0.0000, 0.5000)  6 O 2.10-2.17
Pa (0.5000, 0.5000, 0.0000)  6 O 2.10-2.17
O (0.1856, 0.1856, 0.5487)  2 Pa 2.17
O (0.1856, 0.5487, 0.1856)  2 Pa 2.17
O (0.1915, 0.5615, 0.5615)  1 Pa 2.10, 1 Zr 2.11
O (0.4385, 0.4385, 0.8085)  1 Pa 2.10, 1 Zr 2.11
O (0.4385, 0.8085, 0.4385)  1 Pa 2.10, 1 Zr 2.11
O (0.4513, 0.8144, 0.8144)  2 Pa 2.17
O (0.5487, 0.1856, 0.1856)  2 Pa 2.17
O (0.5615, 0.1915, 0.5615)  1 Pa 2.10, 1 Zr 2.11
O (0.5615, 0.5615, 0.1915)  1 Pa 2.10, 1 Zr 2.11
O (0.8085, 0.4385, 0.4385)  1 Pa 2.10, 1 Zr 2.11
O (0.8144, 0.4513, 0.8144)  2 Pa 2.17
O (0.8144, 0.8144, 0.4513)  2 Pa 2.17

***

- Which value of energy relative to the elements, uncorrected does entry 3 give?
  -2.517 eV per atom

***

- Number 5 is which compound?
  RbZr2PaO8

***

- Which value of D(E_F) does entry 3 give?
  0.00 states/eV per cell